# 1
# K2AcDyS4

A relaxed structure of K2AcDyS4 (PBE, the Alexandria database).

The structure in extended XYZ format:
```
8
Lattice="4.242 0.000 0.000 0.000 7.360 0.132 0.000 -2.573 7.360" Properties=species:S:1:pos:R:3 pbc="T T T"
S 0.000 0.021 5.900
S 2.121 3.447 5.908
S 2.121 1.340 1.583
S 0.000 4.766 1.591
Ac 0.000 0.000 0.000
K 2.121 -1.287 3.680
K 0.000 2.394 3.746
Dy 2.121 3.680 0.066
```

Output
As for the density of states at the Fermi level: 0.000 states/eV per atom. For the uncorrected formation energy, the calculation gives -1442 kJ/mol of formula units. For the total magnetization, the calculation gives 0.00 μB per atom. Its final energy is -5.30 eV/atom. For the density, the calculation gives 4.280 g/cm3.

***

# 2
# PaGeRu2

A relaxed structure of PaGeRu2 (PBE, the Alexandria database).

The structure in extended XYZ format:
```
4
Lattice="0.000 0.503 -3.371 -3.382 0.423 0.063 0.762 5.964 0.889" Properties=species:S:1:pos:R:3 pbc="T T T"
Ge -1.310 3.445 -1.209
Pa -1.691 0.463 -1.654
Ru 0.201 1.571 0.234
Ru 0.561 4.392 0.655
```

Output
As for the density of states at the Fermi level: 1.408 states/eV per atom. The energy above the most stable polymorph in this dataset comes out at 0.318 eV per atom. For the total magnetization, the calculation gives 0.00 μB per atom. Its final energy is -8.39 eV/atom. For the formation energy, the calculation gives -0.228 eV/atom. For the density, the calculation gives 11.896 g/cm3.

***

# 3
# La8SnPt2

A relaxed structure of La8SnPt2 (PBE, the Alexandria database).

The structure in extended XYZ format:
```
11
Lattice="-1.346 2.409 4.786 1.531 -7.684 3.102 6.934 4.538 -1.531" Properties=species:S:1:pos:R:3 pbc="T T T"
La 1.708 -2.281 6.745
La 1.395 2.147 2.518
La 4.136 -0.014 4.787
La 5.623 -3.035 4.017
La 6.991 0.060 2.844
La 3.042 -0.771 1.513
La 0.201 -0.555 3.542
La 4.404 3.817 4.433
Sn 0.005 0.009 0.029
Pt 2.523 -2.628 3.948
Pt 4.510 1.867 2.244
```

Output
As for the density of states at the Fermi level: 1.257 states/eV per atom. For the total magnetization, the calculation gives 0.00 μB per atom. Its final energy is -5.59 eV/atom. For the formation energy, the calculation gives -0.542 eV/atom. For the density, the calculation gives 7.712 g/cm3.

***

# 4
# HfV6Si8

A relaxed structure of HfV6Si8 (PBE, the Alexandria database).

The structure in extended XYZ format:
```
15
Lattice="6.173 1.271 1.312 1.078 6.210 1.312 1.078 1.112 6.249" Properties=species:S:1:pos:R:3 pbc="T T T"
Si 5.673 3.789 1.996
Si 4.718 6.784 3.024
Si 2.414 2.490 2.572
Si 6.634 2.864 5.022
Si 2.655 4.803 6.878
Si 1.695 5.729 3.851
Si 5.914 6.102 6.301
Si 3.610 1.808 5.850
V 3.387 4.780 2.335
V 3.656 6.372 5.266
V 6.255 5.139 4.021
V 4.942 3.812 6.538
V 4.672 2.220 3.607
V 2.073 3.453 4.852
Hf 0.000 0.000 0.000
```

Output
As for the density of states at the Fermi level: 0.580 states/eV per atom. For the uncorrected formation energy, the calculation gives -521 kJ/mol of formula units. For the total magnetization, the calculation gives 0.00 μB per atom. Its final energy is -7.56 eV/atom. For the density, the calculation gives 5.435 g/cm3.